1.
GGA-PBE ScAl2Ir, optimized geometry; total moment = 0.00 μB per formula unit; V = 17.9 A^3/atom; raw total energy = -47.6 eV for the cell shown
1.0
3.855 0.000 0.000
0.000 3.855 0.000
1.928 1.928 9.662
Al Ir Sc
4 2 2
Cartesian
0.920 2.891 2.416
2.935 0.964 2.416
2.891 2.847 7.247
4.819 4.863 7.247
3.855 1.928 4.831
0.000 0.000 0.000
1.928 1.928 0.000
1.928 3.855 4.831

2.
GGA-PBE PaTlTe3Pt, optimized geometry; total moment = 0.19 μB per formula unit; V = 32.0 A^3/atom; formation energy from raw total energies = -3.82 eV per formula unit
1.0
-3.671 1.416 1.365
-4.078 -5.074 -5.704
1.716 -5.268 10.084
Te Tl Pt Pa
6 2 2 2
Cartesian
-6.415 -4.466 -3.088
-4.272 -1.745 -0.149
-1.761 -7.181 5.894
0.381 -4.460 8.833
-2.702 -2.928 5.302
-3.331 -5.998 0.443
-1.489 -2.669 1.942
-4.544 -6.257 3.803
-5.799 -5.265 -0.603
-0.234 -3.661 6.348
-2.512 -4.779 7.736
-3.521 -4.146 -1.991

3.
GGA-PBE Y3Pu3CuS8, optimized geometry; total moment = 5.50 μB per formula unit; V = 22.5 A^3/atom; formation energy from raw total energies = -24.66 eV per formula unit
1.0
7.824 0.007 -0.008
-3.906 6.767 -0.023
-0.010 -4.495 6.396
Y S Pu Cu
3 8 3 1
Cartesian
1.954 1.140 3.183
3.907 -2.244 3.194
-1.958 1.136 3.187
3.907 2.334 1.661
0.001 -0.055 4.705
1.932 -1.134 1.617
-0.003 2.260 1.604
3.911 0.019 4.762
1.976 3.413 4.749
-2.019 3.439 4.689
5.927 -1.160 1.677
-1.953 3.384 -0.011
1.959 3.387 -0.015
0.000 0.000 0.000
-0.005 -2.247 3.198

4.
GGA-PBE TiIrC3, optimized geometry; total moment = 0.00 μB per formula unit; V = 12.3 A^3/atom; E above lowest polymorph = 0 meV/atom
1.0
3.946 0.000 0.000
0.000 3.946 0.000
0.000 0.000 3.946
Ir C Ti
1 3 1
Cartesian
0.000 0.000 0.000
0.000 1.973 0.000
0.000 0.000 1.973
1.973 0.000 0.000
1.973 1.973 1.973

5.
GGA-PBE HoGa2Pd3, optimized geometry; total moment = 0.00 μB per formula unit; V = 17.8 A^3/atom; raw total energy = -92.6 eV for the cell shown
1.0
4.016 0.000 0.000
-2.008 8.047 -2.559
0.000 -0.001 9.928
Ga Pd Ho
6 9 3
Cartesian
0.000 5.826 3.547
0.000 3.109 0.271
0.000 7.365 -0.170
2.008 2.220 3.822
2.008 4.938 7.098
2.008 0.682 7.538
0.000 6.239 6.062
0.000 0.647 3.091
2.008 2.903 8.601
0.000 3.478 2.781
2.008 7.400 4.277
2.008 0.000 4.964
2.008 1.807 1.306
2.008 4.569 4.587
0.000 5.143 -1.232
0.000 2.642 6.174
0.000 0.000 0.000
2.008 5.404 1.195

6.
GGA-PBE LaPu4Pb5, optimized geometry; total moment = 0.28 μB per formula unit; V = 28.9 A^3/atom; raw total energy = -82.5 eV for the cell shown
1.0
4.170 0.000 0.000
0.000 4.170 0.000
0.000 0.000 16.602
Pb Pu La
5 4 1
Cartesian
2.085 2.085 5.026
2.085 2.085 11.576
2.085 2.085 1.771
2.085 2.085 14.831
2.085 2.085 8.301
0.000 0.000 13.166
0.000 0.000 9.927
0.000 0.000 6.675
0.000 0.000 3.436
0.000 0.000 0.000